Entry 1:
The following is a PBE calculation of a relaxed structure of Sr2Tl2O5, from the Alexandria database.

abc: 4.2365 6.4191 6.9329
angles: 120.46 90.00 109.27
Sites, in units of the cell vectors:
Sr (0.6215, 0.2430, 0.2724)
Sr (0.3785, 0.7570, 0.7276)
O (0.0000, 0.0000, 0.0000)
O (0.1314, 0.2627, 0.5017)
O (0.3550, 0.7099, 0.0725)
O (0.8686, 0.7373, 0.4983)
O (0.6450, 0.2901, 0.9275)
Tl (0.8870, 0.7740, 0.1969)
Tl (0.1130, 0.2260, 0.8031)

Symmetry   C2/m
Final energy   -47.2 eV for the cell shown
Distance to the lowest polymorph of the same formula   0.060 eV/atom
Uncorrected formation energy   -1381 kJ/mol of formula units


Entry 2:
The following is a PBE calculation of a relaxed structure of Sr3Tl5O12, from the Alexandria database.

abc: 12.0445 12.0445 12.0445
angles: 109.47 109.47 109.47
Each line ends with the local moment (μB).
Sites, in units of the cell vectors:
O (0.1716, 0.0812, 0.7091)  0.22
O (0.3284, 0.5375, 0.4096)  0.22
O (0.5904, 0.6279, 0.4188)  0.22
O (0.7091, 0.1279, 0.0375)  0.22
O (0.3721, 0.4096, 0.0812)  0.22
O (0.6716, 0.2091, 0.5812)  0.22
O (0.5375, 0.2091, 0.1279)  0.22
O (0.7091, 0.5812, 0.1716)  0.22
O (0.8721, 0.2909, 0.4625)  0.22
O (0.5812, 0.7091, 0.6716)  0.22
O (0.2091, 0.6716, 0.0812)  0.22
O (0.1716, 0.0904, 0.9625)  0.22
O (0.8284, 0.9188, 0.2909)  0.22
O (0.4096, 0.3721, 0.5812)  0.22
O (0.9188, 0.8284, 0.7909)  0.22
O (0.7909, 0.3284, 0.9188)  0.22
O (0.9625, 0.3721, 0.2909)  0.22
O (0.8721, 0.5812, 0.9096)  0.22
O (0.6279, 0.0375, 0.2091)  0.22
O (0.3284, 0.7909, 0.4188)  0.22
O (0.9625, 0.5904, 0.1716)  0.22
O (0.6716, 0.4625, 0.5904)  0.22
O (0.5812, 0.8721, 0.4096)  0.22
O (0.5904, 0.9625, 0.6716)  0.22
O (0.0812, 0.1716, 0.2091)  0.22
O (0.4096, 0.0375, 0.3284)  0.22
O (0.6279, 0.5904, 0.9188)  0.22
O (0.3721, 0.9625, 0.7909)  0.22
O (0.9096, 0.8284, 0.5375)  0.22
O (0.8284, 0.9096, 0.0375)  0.22
O (0.1279, 0.7091, 0.5375)  0.22
O (0.7909, 0.4625, 0.3721)  0.22
O (0.1279, 0.4188, 0.0904)  0.22
O (0.5375, 0.3284, 0.9096)  0.22
O (0.4188, 0.1279, 0.5904)  0.22
O (0.0904, 0.1716, 0.4625)  0.22
O (0.4625, 0.7909, 0.8721)  0.22
O (0.0375, 0.4096, 0.8284)  0.22
O (0.2909, 0.8721, 0.9625)  0.22
O (0.9188, 0.0904, 0.6279)  0.22
O (0.0904, 0.9188, 0.1279)  0.22
O (0.9096, 0.0812, 0.8721)  0.22
O (0.2909, 0.4188, 0.8284)  0.22
O (0.4188, 0.2909, 0.3284)  0.22
O (0.0375, 0.6279, 0.7091)  0.22
O (0.0812, 0.9096, 0.3721)  0.22
O (0.2091, 0.5375, 0.6279)  0.22
O (0.4625, 0.6716, 0.0904)  0.22
Sr (0.8750, 0.1250, 0.2500)  0.00
Sr (0.7500, 0.8750, 0.6250)  0.00
Sr (0.8750, 0.7500, 0.1250)  0.00
Sr (0.2500, 0.1250, 0.3750)  0.00
Sr (0.3750, 0.6250, 0.2500)  0.00
Sr (0.6250, 0.3750, 0.7500)  0.00
Sr (0.6250, 0.2500, 0.3750)  0.00
Sr (0.1250, 0.2500, 0.8750)  0.00
Sr (0.3750, 0.7500, 0.6250)  0.00
Sr (0.7500, 0.3750, 0.1250)  0.00
Sr (0.2500, 0.6250, 0.8750)  0.00
Sr (0.1250, 0.8750, 0.7500)  0.00
Tl (0.0000, 0.5000, 0.5000)  0.04
Tl (0.5000, 0.5000, 0.0000)  0.04
Tl (0.5000, 0.0000, 0.5000)  0.04
Tl (0.0000, 0.0000, 0.5000)  0.04
Tl (0.3750, 0.2500, 0.1250)  0.00
Tl (0.2500, 0.3750, 0.6250)  0.00
Tl (0.5000, 0.5000, 0.5000)  0.04
Tl (0.7500, 0.6250, 0.3750)  0.00
Tl (0.0000, 0.5000, 0.0000)  0.04
Tl (0.6250, 0.7500, 0.8750)  0.00
Tl (0.8750, 0.6250, 0.7500)  0.00
Tl (0.0000, 0.0000, 0.0000)  0.04
Tl (0.1250, 0.7500, 0.3750)  0.00
Tl (0.2500, 0.8750, 0.1250)  0.00
Tl (0.7500, 0.1250, 0.8750)  0.00
Tl (0.6250, 0.8750, 0.2500)  0.00
Tl (0.3750, 0.1250, 0.7500)  0.00
Tl (0.5000, 0.0000, 0.0000)  0.04
Tl (0.8750, 0.2500, 0.6250)  0.00
Tl (0.1250, 0.3750, 0.2500)  0.00

Symmetry   Ia-3d
Final energy   -397.8 eV for the cell shown
Uncorrected formation energy   -2225 kJ/mol of formula units


| no. | V (A^3/atom) |
| --- | --- |
| 1 | 16.68 |
| 2 | 16.81 |